PmGdAlTc | GGA-PBE | relaxed

Unit cell a=7.1513 b=7.1513 c=7.1513 alpha=90.00 beta=90.00 gamma=90.00
Closest atoms and distances in Å follow each position.
Sites, in units of the cell vectors:
Pm 0.0000 0.0000 0.0000  4 Al 3.10, 4 Tc 3.10
Pm 0.0000 0.5000 0.5000  4 Al 3.10, 4 Tc 3.10
Pm 0.5000 0.0000 0.5000  4 Al 3.10, 4 Tc 3.10
Pm 0.5000 0.5000 0.0000  4 Al 3.10, 4 Tc 3.10
Gd 0.0000 0.0000 0.5000  4 Tc 3.10, 4 Al 3.10
Gd 0.0000 0.5000 0.0000  4 Tc 3.10, 4 Al 3.10
Gd 0.5000 0.0000 0.0000  4 Tc 3.10, 4 Al 3.10
Gd 0.5000 0.5000 0.5000  4 Tc 3.10, 4 Al 3.10
Al 0.2500 0.2500 0.2500  4 Gd 3.10, 4 Pm 3.10
Al 0.2500 0.7500 0.7500  4 Gd 3.10, 4 Pm 3.10
Al 0.7500 0.2500 0.7500  4 Gd 3.10, 4 Pm 3.10
Al 0.7500 0.7500 0.2500  4 Gd 3.10, 4 Pm 3.10
Tc 0.2500 0.2500 0.7500  4 Gd 3.10, 4 Pm 3.10
Tc 0.2500 0.7500 0.2500  4 Gd 3.10, 4 Pm 3.10
Tc 0.7500 0.2500 0.2500  4 Gd 3.10, 4 Pm 3.10
Tc 0.7500 0.7500 0.7500  4 Gd 3.10, 4 Pm 3.10

ρ	7.76	g cm⁻³
energy of formation	-0.058	eV/atom

HfTiB | GGA-PBE | relaxed

Unit cell a=3.0477 b=4.2295 c=14.2670 alpha=90.00 beta=90.00 gamma=90.00
Closest atoms and distances in Å follow each position.
Sites, in units of the cell vectors:
Hf 0.0000 0.0000 0.1784  5 B 2.41-2.63
Hf 0.0000 0.0000 0.8216  5 B 2.41-2.63
Hf 0.5000 0.5000 0.3216  5 B 2.41-2.63
Hf 0.5000 0.5000 0.6784  5 B 2.41-2.63
Ti 0.0000 0.2478 0.5000  2 Ti 2.10-2.13
Ti 0.0000 0.7522 0.5000  2 Ti 2.10-2.13
Ti 0.5000 0.2522 0.0000  2 Ti 2.10-2.13
Ti 0.5000 0.7478 0.0000  2 Ti 2.10-2.13
B 0.0000 0.0000 0.3470  5 Hf 2.41-2.63, 2 Ti 2.42
B 0.0000 0.0000 0.6530  5 Hf 2.41-2.63, 2 Ti 2.42
B 0.5000 0.5000 0.1530  5 Hf 2.41-2.63, 2 Ti 2.42
B 0.5000 0.5000 0.8470  5 Hf 2.41-2.63, 2 Ti 2.42

ρ	8.57	g cm⁻³
energy above the lowest structure with this stoichiometry	129	meV/atom
energy of formation	0.125	eV/atom

NiSb2RuI | GGA-PBE | relaxed

Unit cell a=5.0003 b=5.0003 c=5.6649 alpha=90.00 beta=90.00 gamma=90.00
Closest atoms and distances in Å follow each position.
Sites, in units of the cell vectors:
Ni 0.0000 0.0000 0.0000  4 I 3.54, 8 Sb 3.78
Sb 0.0000 0.5000 0.5000  2 Ru 2.50
Sb 0.5000 0.0000 0.5000  2 Ru 2.50
Ru 0.5000 0.5000 0.5000  4 Sb 2.50
I 0.5000 0.5000 0.0000  2 Ru 2.83

ρ	6.22	g cm⁻³
energy above the lowest structure with this stoichiometry	0	meV/atom
formation energy from raw total energies	0.877	eV per atom

CeErNiGe | GGA-PBE | relaxed

Unit cell a=7.0133 b=7.0133 c=7.0133 alpha=90.00 beta=90.00 gamma=90.00
Closest atoms and distances in Å follow each position.
Sites, in units of the cell vectors:
Ce 0.0000 0.0000 0.0000  4 Ge 3.04, 4 Ni 3.04
Ce 0.0000 0.5000 0.5000  4 Ge 3.04, 4 Ni 3.04
Ce 0.5000 0.0000 0.5000  4 Ge 3.04, 4 Ni 3.04
Ce 0.5000 0.5000 0.0000  4 Ge 3.04, 4 Ni 3.04
Er 0.0000 0.0000 0.5000  4 Ge 3.04, 4 Ni 3.04
Er 0.0000 0.5000 0.0000  4 Ge 3.04, 4 Ni 3.04
Er 0.5000 0.0000 0.0000  4 Ge 3.04, 4 Ni 3.04
Er 0.5000 0.5000 0.5000  4 Ge 3.04, 4 Ni 3.04
Ni 0.2500 0.2500 0.7500  4 Ce 3.04, 4 Er 3.04
Ni 0.2500 0.7500 0.2500  4 Ce 3.04, 4 Er 3.04
Ni 0.7500 0.2500 0.2500  4 Ce 3.04, 4 Er 3.04
Ni 0.7500 0.7500 0.7500  4 Ce 3.04, 4 Er 3.04
Ge 0.2500 0.2500 0.2500  4 Ce 3.04, 4 Er 3.04
Ge 0.2500 0.7500 0.7500  4 Ce 3.04, 4 Er 3.04
Ge 0.7500 0.2500 0.7500  4 Ce 3.04, 4 Er 3.04
Ge 0.7500 0.7500 0.2500  4 Ce 3.04, 4 Er 3.04

ρ	8.45	g cm⁻³
energy of formation	-0.450	eV/atom

ReSeCl2 | GGA-PBE | relaxed

Unit cell a=5.8280 b=8.3562 c=2.8687 alpha=90.00 beta=90.00 gamma=90.00
Closest atoms and distances in Å follow each position.
Sites, in units of the cell vectors:
Re 0.0000 0.0000 0.0000  2 Re 2.87, 2 Se 2.91, 8 Cl 2.92
Re 0.5000 0.5000 0.0000  2 Re 2.87, 2 Se 2.91, 8 Cl 2.92
Se 0.0000 0.5000 0.0000  2 Se 2.87, 2 Re 2.91, 8 Cl 2.92
Se 0.5000 0.0000 0.0000  2 Se 2.87, 2 Re 2.91, 8 Cl 2.92
Cl 0.2500 0.2500 0.5000  4 Cl 2.87-2.91, 4 Se 2.92, 4 Re 2.92
Cl 0.2500 0.7500 0.5000  4 Cl 2.87-2.91, 4 Se 2.92, 4 Re 2.92
Cl 0.7500 0.2500 0.5000  4 Cl 2.87-2.91, 4 Se 2.92, 4 Re 2.92
Cl 0.7500 0.7500 0.5000  4 Cl 2.87-2.91, 4 Re 2.92, 4 Se 2.92

ρ	7.99	g cm⁻³
energy above the lowest structure with this stoichiometry	1451	meV/atom
formation energy from raw total energies	1.258	eV per atom

In2GaBi2 | GGA-PBE | relaxed

Unit cell a=4.6665 b=4.6665 c=15.1038 alpha=90.00 beta=90.00 gamma=90.00
Closest atoms and distances in Å follow each position.
Sites, in units of the cell vectors:
In 0.0000 0.0000 0.0978  1 In 2.95, 4 Bi 3.28
In 0.0000 0.0000 0.9022  1 In 2.95, 4 Bi 3.28
In 0.5000 0.5000 0.4022  1 In 2.95, 4 Bi 3.28
In 0.5000 0.5000 0.5978  1 In 2.95, 4 Bi 3.28
Ga 0.0000 0.0000 0.5000  8 In 3.62
Ga 0.5000 0.5000 0.0000  8 In 3.62
Bi 0.0000 0.5000 0.2500  4 In 3.28, 4 Bi 3.30
Bi 0.0000 0.5000 0.7500  4 In 3.28, 4 Bi 3.30
Bi 0.5000 0.0000 0.2500  4 In 3.28, 4 Bi 3.30
Bi 0.5000 0.0000 0.7500  4 In 3.28, 4 Bi 3.30

ρ	7.24	g cm⁻³
energy above the lowest structure with this stoichiometry	152	meV/atom
energy of formation	0.208	eV/atom

Number 1: DOS at the Fermi energy 1.1158 states/eV/atom, electronic total energy -8.2929 eV/atom. Number 2: DOS at the Fermi energy 0.6214 states/eV/atom, electronic total energy -8.0506 eV/atom. Number 3: DOS at the Fermi energy 1.2434 states/eV/atom, electronic total energy -4.0937 eV/atom. Number 4: DOS at the Fermi energy 1.8628 states/eV/atom, electronic total energy -5.6734 eV/atom. Number 5: DOS at the Fermi energy 1.0335 states/eV/atom, electronic total energy -3.6486 eV/atom. Number 6: DOS at the Fermi energy 0.3601 states/eV/atom, electronic total energy -3.0450 eV/atom.